No. 1
Dy6Cu5Pd | PBE | relaxed

Cell lengths 4.915, 6.946, 7.789 Å; angles 90.00, 71.59, 90.00 degrees
Atoms (fractional coordinates):
Cu  0.665  0.500  0.670
Cu  0.329  0.000  0.339
Cu  0.000  0.500  0.000
Cu  0.671  0.000  0.661
Cu  0.335  0.500  0.330
Pd  0.000  0.000  0.000
Dy  0.833  0.749  0.333
Dy  0.833  0.251  0.333
Dy  0.500  0.251  0.000
Dy  0.500  0.749  0.000
Dy  0.167  0.749  0.667
Dy  0.167  0.251  0.667

Output
space group	No. 10

***

No. 2
Dy12Cu6Pd | PBE | relaxed

Cell lengths 8.143, 8.143, 8.143 Å; angles 98.68, 98.68, 98.68 degrees
Atoms (fractional coordinates):
Dy  0.812  0.586  0.435
Dy  0.435  0.812  0.586
Dy  0.586  0.435  0.812
Dy  0.188  0.414  0.565
Dy  0.565  0.188  0.414
Dy  0.414  0.565  0.188
Dy  0.090  0.956  0.326
Dy  0.044  0.674  0.910
Dy  0.674  0.910  0.044
Dy  0.910  0.044  0.674
Dy  0.956  0.326  0.090
Dy  0.326  0.090  0.956
Cu  0.686  0.870  0.376
Cu  0.624  0.314  0.130
Cu  0.130  0.624  0.314
Cu  0.314  0.130  0.624
Cu  0.376  0.686  0.870
Cu  0.870  0.376  0.686
Pd  0.000  0.000  0.000

Output
space group	No. 148

***

No. 3
Dy5Cu4Pd | PBE | relaxed

Cell lengths 3.460, 3.460, 17.597 Å; angles 90.00, 90.00, 90.00 degrees
Atoms (fractional coordinates):
Dy  0.500  0.500  0.101
Dy  0.500  0.500  0.301
Dy  0.500  0.500  0.500
Dy  0.500  0.500  0.699
Dy  0.500  0.500  0.899
Cu  0.000  0.000  0.202
Cu  0.000  0.000  0.401
Cu  0.000  0.000  0.599
Cu  0.000  0.000  0.798
Pd  0.000  0.000  0.000

Output
space group	No. 123

***

No. 4
Dy2CuPd8 | PBE | relaxed

Cell lengths 4.360, 6.188, 7.600 Å; angles 105.15, 106.67, 90.00 degrees
Atoms (fractional coordinates):
Dy  0.791  0.328  0.582
Dy  0.209  0.672  0.418
Cu  0.500  0.000  0.000
Pd  0.407  0.574  0.814
Pd  0.656  0.896  0.311
Pd  0.847  0.821  0.695
Pd  0.974  0.263  0.948
Pd  0.153  0.179  0.305
Pd  0.344  0.104  0.689
Pd  0.593  0.426  0.186
Pd  0.026  0.737  0.052

Output
space group	No. 12

***

No. 5
DyCu5Pd7 | PBE | relaxed

Cell lengths 5.020, 6.730, 6.730 Å; angles 81.07, 68.10, 68.10 degrees
Atoms (fractional coordinates):
Dy  0.995  0.005  0.005
Cu  0.501  0.996  0.503
Cu  0.000  0.996  0.503
Cu  0.501  0.503  0.996
Cu  0.000  0.503  0.996
Cu  0.731  0.769  0.769
Pd  0.650  0.350  0.350
Pd  0.345  0.655  0.655
Pd  0.998  0.345  0.659
Pd  0.998  0.659  0.345
Pd  0.274  0.226  0.226
Pd  0.504  0.794  0.198
Pd  0.504  0.198  0.794

Output
space group	No. 44

***

No. 6
DyCuPd3 | PBE | relaxed

Cell lengths 4.080, 3.827, 11.902 Å; angles 99.25, 99.86, 90.00 degrees
Atoms (fractional coordinates):
Dy  0.156  0.407  0.813
Dy  0.844  0.593  0.187
Cu  0.388  0.138  0.275
Cu  0.612  0.862  0.725
Pd  0.717  0.967  0.933
Pd  0.283  0.033  0.067
Pd  0.457  0.707  0.415
Pd  0.543  0.293  0.585
Pd  0.046  0.796  0.592
Pd  0.954  0.204  0.408

Output
distance to the lowest polymorph of the same formula	0.066	eV per atom
space group	No. 74

***

No. 7
DyCuPd5 | PBE | relaxed

Cell lengths 4.296, 4.296, 6.549 Å; angles 90.00, 90.00, 90.00 degrees
Atoms (fractional coordinates):
Dy  0.000  0.000  0.500
Cu  0.500  0.500  0.000
Pd  0.000  0.500  0.787
Pd  0.000  0.500  0.213
Pd  0.500  0.000  0.787
Pd  0.500  0.000  0.213
Pd  0.500  0.500  0.500

Output
space group	No. 123

***

No. 8
DyCu4Pd | PBE | relaxed

Cell lengths 5.001, 5.001, 5.001 Å; angles 60.00, 60.00, 60.00 degrees
Atoms (fractional coordinates):
Dy  0.250  0.250  0.250
Cu  0.626  0.626  0.626
Cu  0.626  0.626  0.122
Cu  0.626  0.122  0.626
Cu  0.122  0.626  0.626
Pd  0.000  0.000  0.000

Output
space group	No. 216

***

No. 9
Dy2Cu3Pd | PBE | relaxed

Cell lengths 3.542, 4.316, 7.422 Å; angles 90.00, 90.00, 90.00 degrees
Atoms (fractional coordinates):
Dy  0.000  0.500  0.003
Dy  0.000  0.000  0.498
Cu  0.500  0.000  0.829
Cu  0.500  0.000  0.155
Cu  0.500  0.500  0.679
Pd  0.500  0.500  0.336

Output
distance to the lowest polymorph of the same formula	0.000	eV per atom
space group	No. 25

***

No. 10
Dy4CuPd | PBE | relaxed

Cell lengths 7.817, 7.817, 7.817 Å; angles 104.74, 104.74, 119.42 degrees
Site moments in Bohr magnetons follow the coordinates.
Atoms (fractional coordinates):
Dy  0.251  0.955  0.704  0.11
Dy  0.749  0.458  0.709  0.12
Dy  0.705  0.501  0.204  0.11
Dy  0.208  0.999  0.209  0.12
Dy  0.298  0.501  0.796  0.11
Dy  0.789  0.999  0.791  0.12
Dy  0.749  0.039  0.291  0.12
Dy  0.251  0.548  0.296  0.11
Cu  0.755  0.755  0.000  0.02
Cu  0.505  0.005  0.500  0.02
Pd  0.246  0.246  0.000  0.01
Pd  0.996  0.496  0.500  0.01

Output
space group	No. 109

***

No. 11
DyCu2Pd8 | PBE | relaxed

Cell lengths 4.704, 7.318, 6.875 Å; angles 57.85, 77.13, 65.25 degrees
Atoms (fractional coordinates):
Dy  0.500  0.000  0.000
Cu  0.000  0.310  0.379
Cu  0.000  0.690  0.621
Pd  0.882  0.086  0.239
Pd  0.882  0.325  0.761
Pd  0.310  0.410  0.000
Pd  0.500  0.766  0.469
Pd  0.500  0.234  0.531
Pd  0.690  0.590  0.000
Pd  0.118  0.675  0.239
Pd  0.118  0.914  0.761

Output
distance to the lowest polymorph of the same formula	0.156	eV per atom
space group	No. 12

***

No. 12
DyCu5Pd6 | PBE | relaxed

Cell lengths 4.109, 7.122, 6.436 Å; angles 90.00, 108.63, 90.00 degrees
Atoms (fractional coordinates):
Pd  0.829  0.736  0.659
Pd  0.829  0.264  0.659
Pd  0.500  0.266  0.000
Pd  0.500  0.734  0.000
Pd  0.171  0.736  0.341
Pd  0.171  0.264  0.341
Cu  0.665  0.500  0.328
Cu  0.322  0.000  0.644
Cu  0.000  0.500  0.000
Cu  0.678  0.000  0.356
Cu  0.335  0.500  0.672
Dy  0.000  0.000  0.000

Output
space group	No. 65

***

no.,ΔH_f (0 K) (eV/atom)
1,-0.361
2,-0.025
3,-0.377
4,-0.518
5,-0.330
6,-0.442
7,-0.395
8,-0.361
9,-0.423
10,-0.140
11,-0.183
12,-0.320